(1)
A relaxed Dy12Pd6N crystal. Source: the Alexandria database, functional PBE.

The formation energy without anion corrections is -12.0 eV/f.u.

Cell lengths 7.9891, 7.9891, 7.9891 Å; angles 98.22, 98.22, 98.22 degrees
Fractional positions:
Dy 0.0210 0.6952 0.9208
Dy 0.0792 0.9790 0.3048
Dy 0.1879 0.4143 0.5637
Dy 0.3048 0.0792 0.9790
Dy 0.4143 0.5637 0.1879
Dy 0.4363 0.8121 0.5857
Dy 0.5637 0.1879 0.4143
Dy 0.5857 0.4363 0.8121
Dy 0.6952 0.9208 0.0210
Dy 0.8121 0.5857 0.4363
Dy 0.9208 0.0210 0.6952
Dy 0.9790 0.3048 0.0792
Pd 0.1186 0.6359 0.3001
Pd 0.3001 0.1186 0.6359
Pd 0.3641 0.6999 0.8814
Pd 0.6359 0.3001 0.1186
Pd 0.6999 0.8814 0.3641
Pd 0.8814 0.3641 0.6999
N 0.0000 0.0000 0.0000


(2)
A relaxed CaPtW crystal. Source: the Alexandria database, functional PBE.

The value obtained for the formation energy is -0.151 eV/atom.

Cell lengths 3.2432, 3.3162, 11.0401 Å; angles 89.12, 89.97, 89.91 degrees
Fractional positions:
Ca 0.0000 0.0000 0.0000
Ca 0.0005 0.0173 0.6622
Pt 0.4999 0.4967 0.1849
Pt 0.5002 0.5090 0.8279
W 0.5006 0.5202 0.4527
W 0.9985 0.9623 0.3344


(3)
A relaxed YTcI2N crystal. Source: the Alexandria database, functional PBE.

The polymorph energy (0 for the lowest one) comes out at 0 meV per atom. The formation energy without anion corrections is 0.2 eV/f.u.

Cell lengths 5.6239, 5.6239, 3.7885 Å; angles 90.00, 90.00, 90.00 degrees
Fractional positions:
Y 0.0000 0.0000 0.0000
Tc 0.5000 0.5000 0.5000
I 0.0000 0.5000 0.5000
I 0.5000 0.0000 0.5000
N 0.5000 0.5000 0.0000


(4)
A relaxed LaPr3 crystal. Source: the Alexandria database, functional PBE.

The value obtained for the formation energy is 0.012 eV/atom.

Cell lengths 6.4675, 6.4675, 6.4675 Å; angles 132.09, 132.09, 70.09 degrees
Fractional positions:
La 0.0000 0.0000 0.0000
Pr 0.2500 0.7500 0.5000
Pr 0.5000 0.5000 0.0000
Pr 0.7500 0.2500 0.5000


(5)
A relaxed LiMo5 crystal. Source: the Alexandria database, functional PBE.

The value obtained for the formation energy is 0.377 eV/atom. The polymorph energy (0 for the lowest one) comes out at 18 meV per atom.

Cell lengths 4.6247, 8.0612, 8.0612 Å; angles 18.29, 90.00, 90.00 degrees
Fractional positions:
Li 0.0000 0.0000 0.0000
Mo 0.0000 0.3332 0.3332
Mo 0.0000 0.6621 0.6621
Mo 0.5000 0.2373 0.2373
Mo 0.5000 0.5681 0.5681
Mo 0.5000 0.9059 0.9059


(6)
A relaxed LiURuPt crystal. Source: the Alexandria database, functional PBE.

The value obtained for the formation energy is -0.325 eV/atom.

Cell lengths 4.5939, 4.5939, 4.5939 Å; angles 60.00, 60.00, 60.00 degrees
Fractional positions:
Li 0.0000 0.0000 0.0000
U 0.5000 0.5000 0.5000
Ru 0.2500 0.2500 0.2500
Pt 0.7500 0.7500 0.7500


(7)
A relaxed CsZnSbH2 crystal. Source: the Alexandria database, functional PBE.

The polymorph energy (0 for the lowest one) comes out at 63 meV per atom.

Cell lengths 4.7866, 4.7866, 7.3887 Å; angles 105.94, 105.94, 57.64 degrees
Fractional positions:
Cs 0.0000 0.0000 0.0000
Zn 0.2504 0.2504 0.5925
Sb 0.7802 0.7802 0.4151
H 0.0038 0.0038 0.4751
H 0.2759 0.2759 0.8222


(8)
A relaxed AlAs2Pb crystal. Source: the Alexandria database, functional PBE.

The value obtained for the formation energy is 0.131 eV/atom. The polymorph energy (0 for the lowest one) comes out at 247 meV per atom.

Cell lengths 3.3025, 3.3025, 8.6672 Å; angles 90.00, 90.00, 108.81 degrees
Fractional positions:
Al 0.0000 0.0000 0.0000
As 0.5000 0.5000 0.1990
As 0.5000 0.5000 0.8010
Pb 0.0000 0.0000 0.5000


(9)
A relaxed ZrAgRu crystal. Source: the Alexandria database, functional PBE.

The value obtained for the formation energy is 0.030 eV/atom. The polymorph energy (0 for the lowest one) comes out at 135 meV per atom.

Cell lengths 4.6202, 4.6202, 2.8665 Å; angles 90.00, 90.00, 120.00 degrees
Fractional positions:
Zr 0.0000 0.0000 0.0000
Ag 0.3333 0.6667 0.3763
Ru 0.6667 0.3333 0.7178


(10)
A relaxed La4HoTm crystal. Source: the Alexandria database, functional PBE.

The value obtained for the formation energy is 0.021 eV/atom. The polymorph energy (0 for the lowest one) comes out at 0 meV per atom.

Cell lengths 6.3681, 10.8690, 6.3686 Å; angles 90.00, 109.61, 90.00 degrees
Fractional positions:
La 0.0007 0.1701 0.0005
La 0.0007 0.3299 0.5005
La 0.4993 0.6708 0.9991
La 0.4993 0.8292 0.4991
La 0.5007 0.1708 0.5009
La 0.5007 0.3292 0.0009
La 0.9993 0.6701 0.4995
La 0.9993 0.8299 0.9995
Ho 0.0000 0.0000 0.5000
Ho 0.0000 0.5000 0.0000
Tm 0.5000 0.0000 0.0000
Tm 0.5000 0.5000 0.5000


(11)
A relaxed Li2Ru2O7 crystal. Source: the Alexandria database, functional PBE.

The formation energy without anion corrections is -10.4 eV/f.u.

Cell lengths 4.7786, 4.7786, 5.1482 Å; angles 90.10, 90.10, 82.96 degrees
Fractional positions:
Li 0.2323 0.7677 0.0000
Li 0.7677 0.2323 0.0000
Ru 0.2208 0.2208 0.5000
Ru 0.7792 0.7792 0.5000
O 0.9996 0.9996 0.2813
O 0.0004 0.0004 0.7187
O 0.9995 0.4996 0.2627
O 0.0005 0.5004 0.7373
O 0.4996 0.9995 0.2627
O 0.5004 0.0005 0.7373
O 0.5000 0.5000 0.5000


(12)
A relaxed OsCl2F2 crystal. Source: the Alexandria database, functional PBE.

The formation energy without anion corrections is -5.2 eV/f.u.

Cell lengths 5.4505, 5.4505, 3.5793 Å; angles 90.00, 90.00, 94.65 degrees
Fractional positions:
Os 0.0000 0.0000 0.0000
Cl 0.2121 0.2121 0.5000
Cl 0.7879 0.7879 0.5000
F 0.2379 0.7621 0.0000
F 0.7621 0.2379 0.0000